Record 1
IrRhAu2 | GGA-PBE | relaxed

POSCAR file:
```
IrRhAu2
1.0
1.396 -2.423 0.000
1.396 2.423 0.000
0.000 0.000 9.657
Ir Rh Au
1 1 2
direct
0.500 0.500 0.500
0.500 0.500 0.000
0.000 0.000 0.248
0.000 0.000 0.752
```

Values from the calculation:
* space-group type: No. 65
* formation enthalpy at 0 K: 368.5 meV/atom
* energy above the most stable polymorph in this dataset: 226.8 meV per atom

=====

Record 2
ScCo2Ru2 | GGA-PBE | relaxed

POSCAR file:
```
ScCo2Ru2
1.0
7.094 0.000 0.000
0.000 7.094 0.000
0.000 0.000 2.759
Sc Ru Co
2 4 4
direct
0.000 0.000 0.000
0.500 0.500 0.000
0.176 0.676 0.500
0.676 0.824 0.500
0.824 0.324 0.500
0.324 0.176 0.500
0.381 0.881 0.000
0.881 0.619 0.000
0.619 0.119 0.000
0.119 0.381 0.000
```

Values from the calculation:
* space-group type: No. 127
* formation enthalpy at 0 K: 5.4 meV/atom
* energy above the most stable polymorph in this dataset: 0.0 meV per atom

=====

Record 3
TaPBr2 | GGA-PBE | relaxed

POSCAR file:
```
TaPBr2
1.0
-0.891 6.781 2.306
-6.030 3.107 2.465
5.222 -4.976 0.237
Br P Ta
2 1 1
direct
0.091 0.091 0.000
0.769 0.269 0.500
0.384 0.384 0.000
0.256 0.756 0.500
```

Values from the calculation:
* space-group type: No. 44
* energy relative to the elements, uncorrected: 0.01 eV/atom
* energy above the most stable polymorph in this dataset: 434.3 meV per atom

=====

Record 4
FeNiPd | GGA-PBE | relaxed

POSCAR file:
```
FeNiPd
1.0
2.619 0.000 0.000
0.000 4.146 0.000
0.000 -2.073 3.591
Ni Fe Pd
1 1 1
direct
0.459 0.333 0.667
0.543 0.667 0.333
0.997 0.000 0.000
```

Values from the calculation:
* space-group type: No. 156
* formation enthalpy at 0 K: 5.0 meV/atom
* energy above the most stable polymorph in this dataset: 56.5 meV per atom

=====

Record 5
TaHRh2W | GGA-PBE | relaxed

POSCAR file:
```
TaHRh2W
1.0
-0.026 -0.637 -3.891
3.770 -1.142 0.162
-1.200 -3.868 0.642
H Rh W Ta
1 2 1 1
direct
0.000 0.000 0.000
0.000 0.500 0.000
0.500 0.000 0.000
0.000 0.000 0.500
0.500 0.500 0.500
```

Values from the calculation:
* space-group type: No. 123
* energy above the most stable polymorph in this dataset: 0.0 meV per atom

=====

Record 6
Mg2ScTl2 | GGA-PBE | relaxed

POSCAR file:
```
Mg2ScTl2
1.0
-2.896 3.041 -1.107
-1.345 0.220 4.123
2.302 6.277 2.704
Sc Tl Mg
1 2 2
direct
0.000 0.000 0.000
0.393 0.393 0.214
0.607 0.607 0.786
0.750 0.250 0.500
0.250 0.750 0.500
```

Values from the calculation:
* space-group type: No. 139
* formation enthalpy at 0 K: 40.9 meV/atom
* energy above the most stable polymorph in this dataset: 67.7 meV per atom

=====

Record 7
Ac9Cu2Ir4 | GGA-PBE | relaxed

POSCAR file:
```
Ac9Cu2Ir4
1.0
-5.128 -0.616 5.530
-6.370 -3.919 -1.166
9.563 -17.594 6.908
Ac Cu Ir
18 4 8
direct
0.001 0.339 0.750
0.341 0.659 0.750
0.661 0.999 0.750
0.999 0.661 0.250
0.659 0.341 0.250
0.339 0.001 0.250
0.656 0.986 0.419
0.985 0.359 0.419
0.358 0.657 0.419
0.641 0.015 0.081
0.343 0.641 0.081
0.015 0.343 0.081
0.344 0.014 0.581
0.015 0.641 0.581
0.642 0.343 0.581
0.359 0.985 0.919
0.657 0.359 0.919
0.985 0.657 0.919
0.999 0.002 0.336
0.000 0.999 0.164
0.001 0.998 0.664
0.000 0.001 0.836
0.333 0.333 0.993
0.333 0.334 0.493
0.667 0.667 0.007
0.332 0.334 0.173
0.667 0.666 0.507
0.666 0.667 0.327
0.334 0.333 0.673
0.668 0.666 0.827
```

Values from the calculation:
* space-group type: No. 2
* formation enthalpy at 0 K: -446.6 meV/atom

=====

Record 8
Mg3CuRe | GGA-PBE | relaxed

POSCAR file:
```
Mg3CuRe
1.0
4.663 0.000 0.000
0.000 4.663 0.000
0.000 0.000 4.663
Re Mg Cu
1 3 1
direct
0.500 0.500 0.500
0.000 0.500 0.000
0.000 0.000 0.500
0.500 0.000 0.000
0.000 0.000 0.000
```

Values from the calculation:
* space-group type: No. 221
* formation enthalpy at 0 K: 992.7 meV/atom
* energy above the most stable polymorph in this dataset: 0.0 meV per atom

=====

Number 1: density of states at the Fermi level 1.77 states/eV/atom, E -5.32 eV/atom. Number 2: density of states at the Fermi level 1.46 states/eV/atom, E -7.81 eV/atom. Number 3: density of states at the Fermi level 0.33 states/eV/atom, E -5.14 eV/atom. Number 4: density of states at the Fermi level 0.88 states/eV/atom, E -6.47 eV/atom. Number 5: density of states at the Fermi level 0.40 states/eV/atom, E -8.81 eV/atom. Number 6: density of states at the Fermi level 0.49 states/eV/atom, E -2.81 eV/atom. Number 7: density of states at the Fermi level 0.68 states/eV/atom, E -5.82 eV/atom. Number 8: density of states at the Fermi level 0.75 states/eV/atom, E -3.27 eV/atom.